Density functional theory data (PBE) for crystalline TaNiRuPt at its relaxed geometry.

Properties
The electronic total energy comes out at -34.89 eV/f.u. The formation energy is -0.4841 eV/atom.

abc: 3.757 3.821 4.020
angles: 90.00 90.00 90.00
Space group Pmmm (No. 47)
Asymmetric unit:
Ta 0.000 0.000 0.000 (multiplicity 1)
Ni 0.000 0.500 0.500 (multiplicity 1)
Ru 0.500 0.500 0.000 (multiplicity 1)
Pt 0.500 0.000 0.500 (multiplicity 1)